The following is a DFT calculation (GGA-PBE) of an optimized crystal structure of Sr2LiTe.

Summary:
- M_tot (μB/cell) = 0.0
- electronic total energy (eV/atom) = -2.3614
- N(E_F) (states/eV/cell) = 2.51
- theoretical density (g/cm³) = 3.57
- V (Å³/cell) = 144.0
- formation energy (no corrections) (meV/atom) = -257

abc: 5.8828 5.8828 5.8828
angles: 60.00 60.00 60.00
Last column: nearest neighbours and their distance in Å.
Sites, in units of the cell vectors:
Li 0.5000 0.5000 0.5000  4 Te 3.60, 4 Sr 3.60
Sr 0.0000 0.0000 0.0000  4 Te 3.60, 4 Sr 3.60
Sr 0.2500 0.2500 0.2500  4 Li 3.60, 4 Sr 3.60
Te 0.7500 0.7500 0.7500  4 Sr 3.60, 4 Li 3.60